Entry 1:
Compound: NbCoCl3
Source: the Alexandria database
Functional: GGA-PBE
Structure: relaxed

The total magnetization is 1.399 μB per formula unit. As for the total energy: -4.257 eV/atom. As for the calculated volume: 100.1 Å³/cell. For the formation energy (no corrections), the calculation gives 0.286 eV/atom.

The structure belongs to space group Pm-3m (No. 221); the cell edges are 4.644, 4.644 and 4.644 Å and the angles 90.00°, 90.00° and 90.00°. The inequivalent atoms are Nb at (0.000, 0.000, 0.000), Co at (0.500, 0.500, 0.500) and Cl at (0.000, 0.500, 0.500).



Entry 2:
Compound: NbCoCl2
Source: the Alexandria database
Functional: GGA-PBE
Structure: relaxed

The total magnetization is 0.000 μB per formula unit. As for the total energy: -4.864 eV/atom. As for the calculated volume: 293.9 Å³/cell. For the formation energy (no corrections), the calculation gives 0.353 eV/atom.

The structure belongs to space group I-42d (No. 122); the cell edges are 5.539, 5.539 and 9.577 Å and the angles 90.00°, 90.00° and 90.00°. The inequivalent atoms are Nb at (0.000, 0.000, 0.000), Co at (0.000, 0.000, 0.500) and Cl at (0.213, 0.250, 0.625).



Number 1: relative energy among the computed polymorphs 100.5 meV/atom. Number 2: relative energy among the computed polymorphs 437.0 meV/atom.